(1)
# PmErAlGe | Alexandria | PBE-GGA | optimized geometry
data_PmErAlGe
_chemical_formula_sum 'Pm4 Er4 Al4 Ge4'
_cell_length_a 7.260
_cell_length_b 7.260
_cell_length_c 7.260
_cell_angle_alpha 90.00
_cell_angle_beta 90.00
_cell_angle_gamma 90.00
_space_group_name_H-M_alt 'F -4 3 m'
_space_group_IT_number 216
_space_group_name_Hall 'F -4 2 3'
loop_
_atom_site_label
_atom_site_fract_x
_atom_site_fract_y
_atom_site_fract_z
_atom_site_occupancy
Pm1 0.000 0.000 0.000 1
Er1 0.000 0.000 0.500 1
Al1 0.250 0.250 0.250 1
Ge1 0.250 0.250 0.750 1
# ΔH_f (0 K) = -0.4384 eV/atom
# energy = -4.8568 eV per atom
# ΔE to the lowest computed polymorph = 237 meV per atom
# V = 382.66 Å³ per cell



(2)
# PmErAlGe | Alexandria | PBE-GGA | optimized geometry
data_PmErAlGe
_chemical_formula_sum 'Pm2 Er2 Al2 Ge2'
_cell_length_a 4.051
_cell_length_b 4.422
_cell_length_c 10.970
_cell_angle_alpha 90.00
_cell_angle_beta 90.00
_cell_angle_gamma 90.00
_space_group_name_H-M_alt 'A m m 2'
_space_group_IT_number 38
loop_
_space_group_symop_operation_xyz
'x,y,z'
'-x,-y,z'
'-x,y,z'
'x,-y,z'
'x,y+1/2,z+1/2'
'-x,-y+1/2,z+1/2'
'-x,y+1/2,z+1/2'
'x,-y+1/2,z+1/2'
loop_
_atom_site_label
_atom_site_fract_x
_atom_site_fract_y
_atom_site_fract_z
_atom_site_occupancy
Pm1 0.000 0.000 0.000 1
Er1 0.500 0.000 0.282 1
Al1 0.000 0.000 0.717 1
Ge1 0.500 0.000 0.565 1
# ΔH_f (0 K) = -0.6753 eV/atom
# energy = -5.0937 eV per atom
# ΔE to the lowest computed polymorph = 0 meV per atom
# V = 196.50 Å³ per cell



(3)
# Er2Al4GePt3 | Alexandria | PBE-GGA | optimized geometry
data_Er2Al4GePt3
_chemical_formula_sum 'Er2 Al4 Ge1 Pt3'
_cell_length_a 4.219
_cell_length_b 4.219
_cell_length_c 10.457
_cell_angle_alpha 90.00
_cell_angle_beta 90.00
_cell_angle_gamma 90.00
_space_group_name_H-M_alt 'P -4 m 2'
_space_group_IT_number 115
loop_
_space_group_symop_operation_xyz
'x,y,z'
'y,-x,-z'
'-x,-y,z'
'-y,x,-z'
'-x,y,z'
'-y,-x,-z'
'x,-y,z'
'y,x,-z'
loop_
_atom_site_label
_atom_site_fract_x
_atom_site_fract_y
_atom_site_fract_z
_atom_site_occupancy
Er1 0.000 0.500 0.249 1
Al1 0.000 0.000 0.000 1
Al2 0.000 0.500 0.637 1
Al3 0.500 0.500 0.000 1
Ge1 0.000 0.000 0.500 1
Pt1 0.000 0.500 0.868 1
Pt2 0.500 0.500 0.500 1
# ΔH_f (0 K) = -0.9464 eV/atom
# energy = -5.6299 eV per atom
# V = 186.11 Å³ per cell



(4)
# Er2AlGe3Pt4 | Alexandria | PBE-GGA | optimized geometry
data_Er2AlGe3Pt4
_chemical_formula_sum 'Er2 Al1 Ge3 Pt4'
_cell_length_a 4.201
_cell_length_b 4.201
_cell_length_c 10.466
_cell_angle_alpha 90.00
_cell_angle_beta 90.00
_cell_angle_gamma 90.00
_space_group_name_H-M_alt 'P -4 m 2'
_space_group_IT_number 115
loop_
_space_group_symop_operation_xyz
'x,y,z'
'y,-x,-z'
'-x,-y,z'
'-y,x,-z'
'-x,y,z'
'-y,-x,-z'
'x,-y,z'
'y,x,-z'
loop_
_atom_site_label
_atom_site_fract_x
_atom_site_fract_y
_atom_site_fract_z
_atom_site_occupancy
Er1 0.000 0.500 0.247 1
Al1 0.000 0.000 0.500 1
Ge1 0.000 0.500 0.864 1
Ge2 0.500 0.500 0.500 1
Pt1 0.000 0.000 0.000 1
Pt2 0.000 0.500 0.633 1
Pt3 0.500 0.500 0.000 1
# ΔH_f (0 K) = -0.9361 eV/atom
# energy = -6.0244 eV per atom
# V = 184.74 Å³ per cell



(5)
# Er2Al2GeRh5 | Alexandria | PBE-GGA | optimized geometry
data_Er2Al2GeRh5
_chemical_formula_sum 'Er4 Al4 Ge2 Rh10'
_cell_length_a 9.802
_cell_length_b 9.802
_cell_length_c 3.433
_cell_angle_alpha 90.00
_cell_angle_beta 90.00
_cell_angle_gamma 90.00
_space_group_name_H-M_alt 'P 4/m b m'
_space_group_IT_number 127
_space_group_name_Hall '-P 4 2ab'
loop_
_atom_site_label
_atom_site_fract_x
_atom_site_fract_y
_atom_site_fract_z
_atom_site_occupancy
Er1 0.174 0.326 0.000 1
Al1 0.125 0.625 0.000 1
Ge1 0.000 0.000 0.000 1
Rh1 0.000 0.500 0.500 1
Rh2 0.067 0.799 0.500 1
# ΔH_f (0 K) = -0.8631 eV/atom
# energy = -6.6616 eV per atom
# V = 329.87 Å³ per cell



(6)
# Er2AlGe3Rh4 | Alexandria | PBE-GGA | optimized geometry
data_Er2AlGe3Rh4
_chemical_formula_sum 'Er2 Al1 Ge3 Rh4'
_cell_length_a 4.121
_cell_length_b 4.121
_cell_length_c 10.399
_cell_angle_alpha 90.00
_cell_angle_beta 90.00
_cell_angle_gamma 90.00
_space_group_name_H-M_alt 'P -4 m 2'
_space_group_IT_number 115
loop_
_space_group_symop_operation_xyz
'x,y,z'
'y,-x,-z'
'-x,-y,z'
'-y,x,-z'
'-x,y,z'
'-y,-x,-z'
'x,-y,z'
'y,x,-z'
loop_
_atom_site_label
_atom_site_fract_x
_atom_site_fract_y
_atom_site_fract_z
_atom_site_occupancy
Er1 0.000 0.500 0.248 1
Al1 0.000 0.000 0.500 1
Ge1 0.000 0.500 0.868 1
Ge2 0.500 0.500 0.500 1
Rh1 0.000 0.000 0.000 1
Rh2 0.000 0.500 0.635 1
Rh3 0.500 0.500 0.000 1
# ΔH_f (0 K) = -0.8817 eV/atom
# energy = -6.4943 eV per atom
# V = 176.58 Å³ per cell



(7)
# Er2Al2GeRu5 | Alexandria | PBE-GGA | optimized geometry
data_Er2Al2GeRu5
_chemical_formula_sum 'Er4 Al4 Ge2 Ru10'
_cell_length_a 9.995
_cell_length_b 9.995
_cell_length_c 3.284
_cell_angle_alpha 90.00
_cell_angle_beta 90.00
_cell_angle_gamma 90.00
_space_group_name_H-M_alt 'P 4/m b m'
_space_group_IT_number 127
_space_group_name_Hall '-P 4 2ab'
loop_
_atom_site_label
_atom_site_fract_x
_atom_site_fract_y
_atom_site_fract_z
_atom_site_occupancy
Er1 0.170 0.330 0.000 1
Al1 0.129 0.629 0.000 1
Ge1 0.000 0.000 0.000 1
Ru1 0.000 0.500 0.500 1
Ru2 0.062 0.806 0.500 1
# ΔH_f (0 K) = -0.4290 eV/atom
# energy = -7.1897 eV per atom
# V = 328.05 Å³ per cell



(8)
# SmErAl2Ge | Alexandria | PBE-GGA | optimized geometry
data_SmErAl2Ge
_chemical_formula_sum 'Sm2 Er2 Al4 Ge2'
_cell_length_a 4.312
_cell_length_b 4.387
_cell_length_c 12.274
_cell_angle_alpha 90.00
_cell_angle_beta 90.00
_cell_angle_gamma 90.00
_space_group_name_H-M_alt 'I m m 2'
_space_group_IT_number 44
loop_
_space_group_symop_operation_xyz
'x,y,z'
'-x,-y,z'
'-x,y,z'
'x,-y,z'
'x+1/2,y+1/2,z+1/2'
'-x+1/2,-y+1/2,z+1/2'
'-x+1/2,y+1/2,z+1/2'
'x+1/2,-y+1/2,z+1/2'
loop_
_atom_site_label
_atom_site_fract_x
_atom_site_fract_y
_atom_site_fract_z
_atom_site_occupancy
Sm1 0.000 0.000 0.000 1
Er1 0.000 0.500 0.754 1
Al1 0.000 0.000 0.602 1
Al2 0.000 0.500 0.238 1
Ge1 0.000 0.000 0.400 1
# ΔH_f (0 K) = -0.4831 eV/atom
# energy = -4.7600 eV per atom
# V = 232.15 Å³ per cell



Number 7 is which compound?
Er2Al2GeRu5



What did the fifth record say?
# Er2Al2GeRh5 | Alexandria | PBE-GGA | optimized geometry
data_Er2Al2GeRh5
_chemical_formula_sum 'Er4 Al4 Ge2 Rh10'
_cell_length_a 9.802
_cell_length_b 9.802
_cell_length_c 3.433
_cell_angle_alpha 90.00
_cell_angle_beta 90.00
_cell_angle_gamma 90.00
_space_group_name_H-M_alt 'P 4/m b m'
_space_group_IT_number 127
_space_group_name_Hall '-P 4 2ab'
loop_
_atom_site_label
_atom_site_fract_x
_atom_site_fract_y
_atom_site_fract_z
_atom_site_occupancy
Er1 0.174 0.326 0.000 1
Al1 0.125 0.625 0.000 1
Ge1 0.000 0.000 0.000 1
Rh1 0.000 0.500 0.500 1
Rh2 0.067 0.799 0.500 1
# ΔH_f (0 K) = -0.8631 eV/atom
# energy = -6.6616 eV per atom
# V = 329.87 Å³ per cell



The lowest ΔH_f (0 K) belongs to which entry?
Er2Al4GePt3



The lowest energy belongs to which entry?
Er2Al2GeRu5